#P
# LiIrW2

LiIrW2 at its PBEsol-relaxed geometry (SCAN, Alexandria via LeMat-Bulk).

Unit cell a=2.6957 b=4.1292 c=5.2056 alpha=90.00 beta=101.60 gamma=90.00
With the nearest neighbours (Å) after each atom.
Atoms (fractional coordinates):
Ir1 0.5000 0.5000 0.0000  2 Li 2.60, 2 Ir 2.70, 8 W 2.71-2.89
Li1 0.5000 0.5000 0.5000  2 Ir 2.60, 4 W 2.61, 2 Li 2.70
W1 0.9699 0.0000 0.7423  4 W 2.56-2.70, 2 Li 2.61, 2 Ir 2.71
W2 0.0301 0.0000 0.2577  4 W 2.56-2.70, 2 Li 2.61, 2 Ir 2.71

Output
Symmetry ... P2/m
Crystal system ... monoclinic

#Q
# LiIrW2

LiIrW2 at its PBEsol-relaxed geometry (SCAN, Alexandria via LeMat-Bulk).

Unit cell a=2.6640 b=2.6640 c=9.4600 alpha=90.00 beta=90.00 gamma=114.01
With the nearest neighbours (Å) after each atom.
Atoms (fractional coordinates):
Ir1 0.5000 0.5000 0.5000  6 Ir 2.66-2.90, 4 W 2.70
Li1 0.5000 0.5000 0.0000  6 Li 2.66-2.90, 4 W 2.85
W1 0.0000 0.0000 0.2593  6 W 2.66-2.90, 2 Ir 2.70, 2 Li 2.85
W2 0.0000 0.0000 0.7407  6 W 2.66-2.90, 2 Ir 2.70, 2 Li 2.85

Output
Symmetry ... Cmmm
Crystal system ... orthorhombic

Most stable: #P. Least stable: #Q.